DFT (GGA-PBE) results for a geometry-optimized B2Pb2O5 structure.

Cell and atoms, written as POSCAR:
```
B2Pb2O5
1.0
3.7562 -2.7150 0.0000
3.7562 2.7150 0.0000
-2.8467 0.0000 6.9404
B Pb O
2 2 5
Direct
0.1964 0.1964 0.1022
0.8036 0.8036 0.8978
0.3862 0.3862 0.7220
0.6138 0.6138 0.2780
0.0000 0.0000 0.0000
0.2671 0.2671 0.3014
0.3260 0.3260 0.0124
0.6740 0.6740 0.9876
0.7329 0.7329 0.6986
```

Results
The uncorrected formation energy is -40.37 kcal/mol of atoms.

DFT (GGA-PBE) results for a geometry-optimized Sr3TlRu structure.

Cell and atoms, written as POSCAR:
```
Sr3TlRu
1.0
5.7518 0.0000 0.0000
0.0000 5.7518 0.0000
0.0000 0.0000 5.7518
Sr Tl Ru
3 1 1
Direct
0.0000 0.0000 0.5000
0.0000 0.5000 0.0000
0.5000 0.0000 0.0000
0.5000 0.5000 0.5000
0.0000 0.0000 0.0000
```

Results
For the total energy, the calculation gives -15.75 eV/f.u.

DFT (GGA-PBE) results for a geometry-optimized CaGa4CoIr2 structure.

Cell and atoms, written as POSCAR:
```
CaGa4CoIr2
1.0
2.1083 1.2172 8.6647
-2.1083 1.2172 8.6647
0.0000 -2.4344 8.6647
Ca Ga Co Ir
1 4 1 2
Direct
0.0000 0.0000 0.0000
0.1343 0.1343 0.1343
0.4041 0.4041 0.4041
0.5959 0.5959 0.5959
0.8657 0.8657 0.8657
0.5000 0.5000 0.5000
0.2352 0.2352 0.2352
0.7648 0.7648 0.7648
```

Results
For the total energy, the calculation gives -42.50 eV/f.u.

DFT (GGA-PBE) results for a geometry-optimized BSICl2 structure.

Cell and atoms, written as POSCAR:
```
BSICl2
1.0
4.1467 0.0000 0.0000
0.0000 4.1467 0.0000
0.0000 0.0000 5.9668
B S I Cl
1 1 1 2
Direct
0.0000 0.0000 0.0000
0.0000 0.0000 0.5000
0.5000 0.5000 0.5000
0.0000 0.5000 0.0000
0.5000 0.0000 0.0000
```

Results
The uncorrected formation energy is 11.91 kcal/mol of atoms.

DFT (GGA-PBE) results for a geometry-optimized MgSbPb2 structure.

Cell and atoms, written as POSCAR:
```
MgSbPb2
1.0
3.3662 0.0000 0.0000
0.0000 4.4514 0.0000
-1.6822 0.0000 7.7942
Mg Sb Pb
1 1 2
Direct
0.0000 0.0000 0.0000
0.4149 0.5000 0.8298
0.2558 0.0000 0.5255
0.6224 0.5000 0.2497
```

Results
The uncorrected formation energy is -0.74 kcal/mol of atoms.

DFT (GGA-PBE) results for a geometry-optimized ZnInAs2O8 structure.

Cell and atoms, written as POSCAR:
```
ZnInAs2O8
1.0
-3.4441 3.4441 3.1442
3.4441 -3.4441 3.1442
3.4441 3.4441 -3.1442
Zn In As O
1 1 2 8
Direct
0.0000 0.0000 0.0000
0.2500 0.7500 0.5000
0.5000 0.5000 0.0000
0.7500 0.2500 0.5000
0.3175 0.1322 0.8147
0.3175 0.5028 0.1853
0.3798 0.0672 0.3125
0.4972 0.6825 0.8147
0.7547 0.0672 0.6875
0.8678 0.6825 0.1853
0.9328 0.2453 0.3125
0.9328 0.6202 0.6875
```

Results
The uncorrected formation energy is -24.92 kcal/mol of atoms.

DFT (GGA-PBE) results for a geometry-optimized ZrGe2IF structure.

Cell and atoms, written as POSCAR:
```
ZrGe2IF
1.0
5.5143 0.0000 0.0000
0.0000 5.5143 0.0000
0.0000 0.0000 4.2027
Zr Ge I F
1 2 1 1
Direct
0.0000 0.0000 0.0000
0.0000 0.5000 0.0000
0.5000 0.0000 0.0000
0.5000 0.5000 0.5000
0.0000 0.0000 0.5000
```

Results
The uncorrected formation energy is -13.26 kcal/mol of atoms.

DFT (GGA-PBE) results for a geometry-optimized In2Ag5F12 structure.

Cell and atoms, written as POSCAR:
```
In2Ag5F12
1.0
6.1995 -3.9687 0.0000
6.1995 3.9687 0.0000
-3.5893 0.0000 5.7914
In Ag F
2 5 12
Direct
0.2471 0.7529 0.0000
0.7529 0.2471 0.0000
0.0000 0.0000 0.5000
0.2685 0.2685 0.0244
0.3070 0.3070 0.4824
0.6930 0.6930 0.5176
0.7315 0.7315 0.9756
0.1070 0.1070 0.1768
0.1132 0.7416 0.2183
0.1198 0.4980 0.7651
0.2584 0.8868 0.7817
0.4903 0.4903 0.1837
0.4980 0.1198 0.7651
0.5020 0.8802 0.2349
0.5097 0.5097 0.8163
0.7416 0.1132 0.2183
0.8802 0.5020 0.2349
0.8868 0.2584 0.7817
0.8930 0.8930 0.8232
```

Results
The uncorrected formation energy is -37.02 kcal/mol of atoms.

DFT (GGA-PBE) results for a geometry-optimized AcSmO4 structure.

Cell and atoms, written as POSCAR:
```
AcSmO4
1.0
3.4415 -2.0691 0.0000
3.4415 2.0691 0.0000
-0.8938 0.0000 6.6333
Ac Sm O
1 1 4
Direct
0.0000 0.0000 0.0000
0.6036 0.6036 0.5375
0.2208 0.2208 0.3522
0.3749 0.3749 0.2108
0.6445 0.6445 0.8895
0.9499 0.9499 0.6121
```

Results
The uncorrected formation energy is -65.58 kcal/mol of atoms.

DFT (GGA-PBE) results for a geometry-optimized AlCr2Cd structure.

Cell and atoms, written as POSCAR:
```
AlCr2Cd
1.0
1.4886 -2.2887 0.0000
1.4886 2.2887 0.0000
0.0000 0.0000 8.8656
Al Cr Cd
1 2 1
Direct
0.0000 0.0000 0.0000
0.0000 0.0000 0.4258
0.5000 0.5000 0.2328
0.5000 0.5000 0.7025
```

Results
For the total energy, the calculation gives -22.81 eV/f.u.

DFT (GGA-PBE) results for a geometry-optimized Nd2Dy4HoTh structure.

Cell and atoms, written as POSCAR:
```
Nd2Dy4HoTh
1.0
5.9202 0.0000 0.0000
0.0000 5.9202 0.0000
0.0000 0.0000 7.4255
Nd Dy Ho Th
2 4 1 1
Direct
0.0000 0.0000 0.0000
0.5000 0.5000 0.5000
0.0000 0.5000 0.2503
0.0000 0.5000 0.7497
0.5000 0.0000 0.2503
0.5000 0.0000 0.7497
0.0000 0.0000 0.5000
0.5000 0.5000 0.0000
```

Results
For the total energy, the calculation gives -38.95 eV/f.u.

DFT (GGA-PBE) results for a geometry-optimized CsBaHf2Sc structure.

Cell and atoms, written as POSCAR:
```
CsBaHf2Sc
1.0
5.5536 0.0000 0.0000
0.0000 5.5536 0.0000
0.0000 0.0000 5.4667
Cs Ba Hf Sc
1 1 2 1
Direct
0.0000 0.0000 0.0000
0.5000 0.5000 0.5000
0.0000 0.5000 0.0000
0.5000 0.0000 0.0000
0.0000 0.0000 0.5000
```

Results
For the total energy, the calculation gives -20.74 eV/f.u.

DFT (GGA-PBE) results for a geometry-optimized PPt structure.

Cell and atoms, written as POSCAR:
```
PPt
1.0
0.0000 4.1415 6.6647
3.4646 0.0000 6.6647
3.4646 4.1415 0.0000
P Pt
4 4
Direct
0.0217 0.7283 0.0217
0.2717 0.9783 0.2717
0.7283 0.0217 0.7283
0.9783 0.2717 0.9783
0.0345 0.0345 0.7155
0.2845 0.2845 0.9655
0.7155 0.7155 0.0345
0.9655 0.9655 0.2845
```

Results
For the total energy, the calculation gives -11.80 eV/f.u.

DFT (GGA-PBE) results for a geometry-optimized Th2CdH structure.

Cell and atoms, written as POSCAR:
```
Th2CdH
1.0
1.7482 1.0094 8.6592
-1.7482 1.0094 8.6592
0.0000 -2.0187 8.6592
Th Cd H
2 1 1
Direct
0.2279 0.2279 0.2279
0.7721 0.7721 0.7721
0.0000 0.0000 0.0000
0.5000 0.5000 0.5000
```

Results
For the total energy, the calculation gives -19.60 eV/f.u.

DFT (GGA-PBE) results for a geometry-optimized LiZrGa2 structure.

Cell and atoms, written as POSCAR:
```
LiZrGa2
1.0
3.1402 0.0000 0.0000
0.0000 3.1402 0.0000
0.0000 0.0000 6.7846
Li Zr Ga
1 1 2
Direct
0.0000 0.0000 0.0000
0.0000 0.0000 0.5000
0.5000 0.5000 0.2129
0.5000 0.5000 0.7871
```

Results
For the total energy, the calculation gives -18.22 eV/f.u.

DFT (GGA-PBE) results for a geometry-optimized YTcTe2 structure.

Cell and atoms, written as POSCAR:
```
YTcTe2
1.0
1.7658 1.0195 9.7347
-1.7658 1.0195 9.7347
0.0000 -2.0390 9.7347
Y Tc Te
1 1 2
Direct
0.0000 0.0000 0.0000
0.5000 0.5000 0.5000
0.1049 0.1049 0.1049
0.8951 0.8951 0.8951
```

Results
The uncorrected formation energy is -0.26 kcal/mol of atoms.

DFT (GGA-PBE) results for a geometry-optimized Al4Bi structure.

Cell and atoms, written as POSCAR:
```
Al4Bi
1.0
5.4443 0.0000 0.0000
0.0000 5.4443 0.0000
0.0000 0.0000 5.4443
Al Bi
4 1
Direct
0.0000 0.0000 0.0000
0.0000 0.5000 0.5000
0.5000 0.0000 0.5000
0.5000 0.5000 0.0000
0.5000 0.5000 0.5000
```

Results
For the total energy, the calculation gives -12.90 eV/f.u.

DFT (GGA-PBE) results for a geometry-optimized SiAs2Cl structure.

Cell and atoms, written as POSCAR:
```
SiAs2Cl
1.0
4.0443 -1.7952 0.0000
4.0443 1.7952 0.0000
-2.9327 0.0000 7.6791
Si As Cl
1 2 1
Direct
0.0000 0.0000 0.0000
0.2052 0.2052 0.8394
0.5010 0.5010 0.6793
0.6328 0.6328 0.2013
```

Results
The uncorrected formation energy is 0.47 kcal/mol of atoms.

DFT (GGA-PBE) results for a geometry-optimized Cs2Ag2PbBr7 structure.

Cell and atoms, written as POSCAR:
```
Cs2Ag2PbBr7
1.0
-2.7388 2.7388 13.9819
2.7388 -2.7388 13.9819
2.7388 2.7388 -13.9819
Cs Ag Pb Br
2 2 1 7
Direct
0.1763 0.1763 0.0000
0.8237 0.8237 0.0000
0.4033 0.4033 0.0000
0.5967 0.5967 0.0000
0.0000 0.0000 0.0000
0.0771 0.5771 0.5000
0.3070 0.3070 0.0000
0.4229 0.9229 0.5000
0.5000 0.5000 0.0000
0.5771 0.0771 0.5000
0.6930 0.6930 0.0000
0.9229 0.4229 0.5000
```

Results
The uncorrected formation energy is -20.26 kcal/mol of atoms.

DFT (GGA-PBE) results for a geometry-optimized CuAg2Sn structure.

Cell and atoms, written as POSCAR:
```
CuAg2Sn
1.0
3.9761 0.0000 0.0000
0.0000 8.2121 0.0000
-1.9808 0.0000 4.6012
Cu Ag Sn
2 4 2
Direct
0.2484 0.2500 0.4947
0.7516 0.7500 0.5053
0.1445 0.5593 0.2894
0.1445 0.9407 0.2894
0.8555 0.0593 0.7106
0.8555 0.4407 0.7106
0.4484 0.7500 0.9007
0.5516 0.2500 0.0993
```

Results
For the total energy, the calculation gives -13.47 eV/f.u.

DFT (GGA-PBE) results for a geometry-optimized LaNd12Sm6 structure.

Cell and atoms, written as POSCAR:
```
LaNd12Sm6
1.0
7.8585 4.5371 3.2866
-7.8585 4.5371 3.2866
0.0000 -9.0742 3.2866
La Nd Sm
1 12 6
Direct
0.0000 0.0000 0.0000
0.1071 0.5000 0.8929
0.1071 0.8929 0.5000
0.1794 0.3852 0.3852
0.3852 0.1794 0.3852
0.3852 0.3852 0.1794
0.5000 0.1071 0.8929
0.5000 0.8929 0.1071
0.6148 0.6148 0.8206
0.6148 0.8206 0.6148
0.8206 0.6148 0.6148
0.8929 0.1071 0.5000
0.8929 0.5000 0.1071
0.2240 0.6728 0.6728
0.3272 0.3272 0.7760
0.3272 0.7760 0.3272
0.6728 0.2240 0.6728
0.6728 0.6728 0.2240
0.7760 0.3272 0.3272
```

Results
For the total energy, the calculation gives -83.11 eV/f.u.

DFT (GGA-PBE) results for a geometry-optimized Y2TlPb structure.

Cell and atoms, written as POSCAR:
```
Y2TlPb
1.0
3.6766 0.0000 0.0000
0.0000 5.2229 0.0000
0.0000 0.0000 6.3064
Y Tl Pb
2 1 1
Direct
0.0000 0.0000 0.0000
0.5000 0.5000 0.4990
0.0000 0.0000 0.5001
0.5000 0.5000 0.9991
```

Results
For the total energy, the calculation gives -20.24 eV/f.u.

DFT (GGA-PBE) results for a geometry-optimized Rh2C2Se structure.

Cell and atoms, written as POSCAR:
```
Rh2C2Se
1.0
-1.6270 1.6270 6.1094
1.6270 -1.6270 6.1094
1.6270 1.6270 -6.1094
Rh C Se
2 2 1
Direct
0.1495 0.1495 0.0000
0.8505 0.8505 0.0000
0.2500 0.7500 0.5000
0.7500 0.2500 0.5000
0.5000 0.5000 0.0000
```

Results
The uncorrected formation energy is 17.25 kcal/mol of atoms.